Below is a relaxed structure of Tl2ZnSb2, with properties calculated at the GGA-PBE level.

Cell: 7.1476 7.1476 5.9171 Å, 90.00 90.00 90.00°
Space group P4/mbm (No. 127)
Asymmetric unit:
Tl 0.1739 0.3261 0.0000 x4
Zn 0.0000 0.0000 0.5000 x2
Sb 0.1415 0.6415 0.5000 x4

As for the total magnetization: 0.00 μB/f.u. Its excess energy over the best structure of this formula in the dataset is 36 meV per atom.



Below is a relaxed structure of TlZnSb2, with properties calculated at the GGA-PBE level.

Cell: 4.0015 5.2397 9.9739 Å, 90.00 90.00 90.00°
Space group Cmmm (No. 65)
Asymmetric unit:
Tl 0.0000 0.0000 0.0000 x2
Zn 0.0000 0.0000 0.5000 x2
Sb 0.0000 0.5000 0.2922 x4

As for the total magnetization: 0.00 μB/f.u. Its excess energy over the best structure of this formula in the dataset is 100 meV per atom.



Below is a relaxed structure of TlZn2Sb, with properties calculated at the GGA-PBE level.

Cell: 4.3712 4.3712 17.8672 Å, 90.00 90.00 120.00°
Space group R-3m (No. 166, hexagonal axes)
Asymmetric unit:
Tl 0.0000 0.0000 0.0000 x3
Zn 0.0000 0.0000 0.2355 x6
Sb 0.0000 0.0000 0.5000 x3

As for the total magnetization: 0.00 μB/f.u. Its excess energy over the best structure of this formula in the dataset is 51 meV per atom.



Below is a relaxed structure of Tl3Zn2Sb4, with properties calculated at the GGA-PBE level.

Cell: 4.4240 6.9467 8.9861 Å, 96.53 90.05 108.51°
Space group P-1 (No. 2)
Asymmetric unit:
Tl 0.0000 0.0000 0.0000 x1
Tl 0.4003 0.7976 0.3035 x2
Zn 0.2690 0.5438 0.6109 x2
Sb 0.1054 0.2037 0.3919 x2
Sb 0.2987 0.5976 0.9230 x2

The calculation puts the calculated total energy at -2.8930 eV per atom. As for the total magnetization: 0.00 μB/f.u.



Below is a relaxed structure of Tl12Zn3Sb5, with properties calculated at the GGA-PBE level.

Cell: 17.6232 17.6232 17.6232 Å, 90.00 90.00 90.00°
Space group Ia-3d (No. 230)
Asymmetric unit:
Tl 0.0233 0.0893 0.6489 x96
Zn 0.0000 0.2500 0.1250 x24
Sb 0.0000 0.0000 0.0000 x16
Sb 0.0000 0.2500 0.3750 x24

The calculation puts the calculated total energy at -2.4545 eV per atom. As for the total magnetization: 0.00 μB/f.u.



Below is a relaxed structure of TlZn2Sb, with properties calculated at the GGA-PBE level.

Cell: 4.3764 4.3764 18.3724 Å, 90.00 90.00 120.00°
Space group R3m (No. 160, hexagonal axes)
Asymmetric unit:
Tl 0.0000 0.0000 0.0000 x3
Zn 0.0000 0.0000 0.2297 x3
Zn 0.0000 0.0000 0.4231 x3
Sb 0.0000 0.0000 0.8220 x3

As for the total magnetization: 0.00 μB/f.u. Its excess energy over the best structure of this formula in the dataset is 53 meV per atom.



Below is a relaxed structure of TlZn2Sb, with properties calculated at the GGA-PBE level.

Cell: 7.2819 7.2819 7.2819 Å, 90.00 90.00 90.00°
Space group F-43m (No. 216)
Asymmetric unit:
Tl 0.0000 0.0000 0.0000 x4
Zn 0.0000 0.0000 0.5000 x4
Zn 0.2500 0.2500 0.7500 x4
Sb 0.2500 0.2500 0.2500 x4

As for the total magnetization: 0.00 μB/f.u. Its excess energy over the best structure of this formula in the dataset is 155 meV per atom.



Below is a relaxed structure of TlZn2Sb, with properties calculated at the GGA-PBE level.

Cell: 4.4897 4.7534 8.6373 Å, 90.00 90.00 90.00°
Space group Cmm2 (No. 35)
Asymmetric unit:
Tl 0.0000 0.0000 0.0000 x2
Zn 0.0000 0.0000 0.5755 x2
Zn 0.0000 0.5000 0.7353 x2
Sb 0.0000 0.5000 0.3359 x2

As for the total magnetization: 0.00 μB/f.u. Its excess energy over the best structure of this formula in the dataset is 67 meV per atom.